1.
Material: Zr2Ta4Co3N3
Method: DFT, PBE
State: optimized geometry

Cell and atoms, written as POSCAR:
```
Zr2Ta4Co3N3
1.0
4.596 -2.648 0.000
4.596 2.648 0.000
-3.131 0.000 13.137
Zr Ta Co N
4 8 6 6
direct
0.043 0.874 0.626
0.126 0.957 0.874
0.874 0.043 0.126
0.957 0.126 0.374
0.194 0.362 0.093
0.298 0.476 0.407
0.362 0.194 0.593
0.476 0.298 0.907
0.524 0.702 0.093
0.638 0.806 0.407
0.702 0.524 0.593
0.806 0.638 0.907
0.086 0.413 0.750
0.413 0.086 0.250
0.414 0.586 0.250
0.586 0.414 0.750
0.587 0.914 0.750
0.914 0.587 0.250
0.000 0.500 0.500
0.161 0.678 0.000
0.322 0.839 0.500
0.500 0.000 0.000
0.678 0.161 0.500
0.839 0.322 0.000
```

- calculated volume (Å³ per cell) = 320
- SG = C2/c (15)
- DFT total energy (eV/atom) = -9.97
- total magnetic moment (μB per atom) = 0.01
- mass density (g/cm³) = 11.7

---

2.
Material: Tb2CoN3
Method: DFT, PBE
State: optimized geometry

Cell and atoms, written as POSCAR:
```
Tb2CoN3
1.0
-1.710 1.775 6.196
1.710 -1.775 6.196
1.710 1.775 -6.196
Tb Co N
2 1 3
direct
0.150 0.150 0.000
0.850 0.850 0.000
0.500 0.500 0.000
0.000 0.500 0.500
0.337 0.337 0.000
0.663 0.663 0.000
```

- calculated volume (Å³ per cell) = 75
- SG = Immm (71)
- DFT total energy (eV/atom) = -7.95
- total magnetic moment (μB per atom) = 0.00
- mass density (g/cm³) = 9.2

---

3.
Material: CoTcN2
Method: DFT, PBE
State: optimized geometry

Cell and atoms, written as POSCAR:
```
CoTcN2
1.0
-2.207 2.207 4.408
2.207 -2.207 4.408
2.207 2.207 -4.408
Co Tc N
2 2 4
direct
0.000 0.000 0.000
0.750 0.250 0.500
0.250 0.750 0.500
0.500 0.500 0.000
0.111 0.125 0.486
0.375 0.889 0.014
0.639 0.625 0.514
0.875 0.361 0.986
```

- calculated volume (Å³ per cell) = 86
- SG = I-42d (122)
- DFT total energy (eV/atom) = -8.49
- total magnetic moment (μB per atom) = 0.00
- mass density (g/cm³) = 7.2

---

4.
Material: TlCo3N5
Method: DFT, PBE
State: optimized geometry

Cell and atoms, written as POSCAR:
```
TlCo3N5
1.0
5.071 0.000 0.000
-2.536 4.392 0.000
0.000 0.000 4.020
Tl Co N
1 3 5
direct
0.000 0.000 0.000
0.000 0.500 0.500
0.500 0.000 0.500
0.500 0.500 0.500
0.000 0.000 0.500
0.333 0.667 0.162
0.333 0.667 0.838
0.667 0.333 0.162
0.667 0.333 0.838
```

- calculated volume (Å³ per cell) = 90
- SG = P6/mmm (191)
- DFT total energy (eV/atom) = -6.56
- total magnetic moment (μB per atom) = 0.23
- mass density (g/cm³) = 8.4

---

5.
Material: TlCoW4N2
Method: DFT, PBE
State: optimized geometry

Cell and atoms, written as POSCAR:
```
TlCoW4N2
1.0
2.868 0.000 0.000
-1.434 2.483 0.000
0.000 0.000 14.999
Tl Co W N
1 1 4 2
direct
0.000 0.000 0.000
0.667 0.333 0.500
0.000 0.000 0.361
0.000 0.000 0.639
0.667 0.333 0.170
0.667 0.333 0.830
0.333 0.667 0.263
0.333 0.667 0.737
```

- calculated volume (Å³ per cell) = 107
- SG = P-6m2 (187)
- DFT total energy (eV/atom) = -9.36
- total magnetic moment (μB per atom) = 0.10
- mass density (g/cm³) = 16.0

---

6.
Material: Y4TlCoN2
Method: DFT, PBE
State: optimized geometry

Cell and atoms, written as POSCAR:
```
Y4TlCoN2
1.0
3.507 0.000 0.000
-1.754 3.038 0.000
0.000 0.000 14.754
Y Tl Co N
4 1 1 2
direct
0.000 0.000 0.133
0.000 0.000 0.867
0.333 0.667 0.320
0.333 0.667 0.680
0.000 0.000 0.500
0.333 0.667 0.000
0.667 0.333 0.237
0.667 0.333 0.763
```

- calculated volume (Å³ per cell) = 157
- SG = P-6m2 (187)
- DFT total energy (eV/atom) = -7.32
- total magnetic moment (μB per atom) = 0.03
- mass density (g/cm³) = 6.8

---

7.
Material: Y4TlCoN2
Method: DFT, PBE
State: optimized geometry

Cell and atoms, written as POSCAR:
```
Y4TlCoN2
1.0
3.509 0.000 0.000
-1.755 3.039 0.000
0.000 0.000 14.764
Y Tl Co N
4 1 1 2
direct
0.000 0.000 0.133
0.000 0.000 0.867
0.667 0.333 0.321
0.667 0.333 0.679
0.000 0.000 0.500
0.667 0.333 0.000
0.333 0.667 0.238
0.333 0.667 0.762
```

- calculated volume (Å³ per cell) = 157
- SG = P-6m2 (187)
- DFT total energy (eV/atom) = -7.32
- total magnetic moment (μB per atom) = 0.04
- mass density (g/cm³) = 6.8

---

8.
Material: CoW3N2
Method: DFT, PBE
State: optimized geometry

Cell and atoms, written as POSCAR:
```
CoW3N2
1.0
2.792 0.000 0.000
-1.396 2.418 0.000
0.000 0.000 20.414
Co W N
2 6 4
direct
0.000 0.000 0.250
0.000 0.000 0.750
0.000 0.000 0.000
0.000 0.000 0.500
0.333 0.667 0.147
0.333 0.667 0.353
0.667 0.333 0.647
0.667 0.333 0.853
0.333 0.667 0.575
0.333 0.667 0.925
0.667 0.333 0.075
0.667 0.333 0.425
```

- calculated volume (Å³ per cell) = 138
- SG = P6_3/mmc (194)
- DFT total energy (eV/atom) = -10.28
- total magnetic moment (μB per atom) = 0.13
- mass density (g/cm³) = 15.4

---

9.
Material: Y4Co3W2N3
Method: DFT, PBE
State: optimized geometry

Cell and atoms, written as POSCAR:
```
Y4Co3W2N3
1.0
4.818 -2.814 0.000
4.818 2.814 0.000
-3.074 0.000 13.239
Y Co W N
8 6 4 6
direct
0.038 0.868 0.622
0.132 0.962 0.878
0.190 0.364 0.098
0.364 0.190 0.598
0.636 0.810 0.402
0.810 0.636 0.902
0.868 0.038 0.122
0.962 0.132 0.378
0.073 0.428 0.746
0.428 0.073 0.246
0.444 0.556 0.250
0.556 0.444 0.750
0.572 0.927 0.754
0.927 0.572 0.254
0.302 0.476 0.411
0.476 0.302 0.911
0.524 0.698 0.089
0.698 0.524 0.589
0.000 0.500 0.500
0.193 0.667 0.998
0.333 0.807 0.502
0.500 0.000 0.000
0.667 0.193 0.498
0.807 0.333 0.002
```

- calculated volume (Å³ per cell) = 359
- SG = C2/c (15)
- DFT total energy (eV/atom) = -8.65
- total magnetic moment (μB per atom) = 0.00
- mass density (g/cm³) = 8.7

---

10.
Material: Y2Co3W4N3
Method: DFT, PBE
State: optimized geometry

Cell and atoms, written as POSCAR:
```
Y2Co3W4N3
1.0
4.602 -2.662 0.000
4.602 2.662 0.000
-3.064 0.000 13.002
Y Co W N
4 6 8 6
direct
0.042 0.876 0.628
0.124 0.958 0.872
0.876 0.042 0.128
0.958 0.124 0.372
0.085 0.413 0.751
0.413 0.085 0.251
0.419 0.581 0.250
0.581 0.419 0.750
0.587 0.915 0.749
0.915 0.587 0.249
0.194 0.359 0.088
0.303 0.477 0.411
0.359 0.194 0.588
0.477 0.303 0.911
0.523 0.697 0.089
0.641 0.806 0.412
0.697 0.523 0.589
0.806 0.641 0.912
0.000 0.500 0.500
0.160 0.679 0.000
0.321 0.840 0.500
0.500 0.000 0.000
0.679 0.160 0.500
0.840 0.321 0.000
```

- calculated volume (Å³ per cell) = 319
- SG = C2/c (15)
- DFT total energy (eV/atom) = -9.58
- total magnetic moment (μB per atom) = 0.02
- mass density (g/cm³) = 11.8

---

11.
Material: Zr2Co3W4N3
Method: DFT, PBE
State: optimized geometry

Cell and atoms, written as POSCAR:
```
Zr2Co3W4N3
1.0
4.467 -2.595 0.000
4.467 2.595 0.000
-2.971 0.000 13.128
Zr Co W N
4 6 8 6
direct
0.042 0.878 0.627
0.122 0.958 0.873
0.878 0.042 0.127
0.958 0.122 0.373
0.086 0.427 0.749
0.399 0.601 0.250
0.427 0.086 0.249
0.573 0.914 0.751
0.601 0.399 0.750
0.914 0.573 0.251
0.200 0.366 0.091
0.309 0.465 0.409
0.366 0.200 0.591
0.465 0.309 0.909
0.535 0.691 0.091
0.634 0.800 0.409
0.691 0.535 0.591
0.800 0.634 0.909
0.000 0.500 0.500
0.151 0.695 0.000
0.305 0.849 0.500
0.500 0.000 0.000
0.695 0.151 0.500
0.849 0.305 0.000
```

- calculated volume (Å³ per cell) = 304
- SG = C2/c (15)
- DFT total energy (eV/atom) = -9.95
- total magnetic moment (μB per atom) = 0.00
- mass density (g/cm³) = 12.4

---

12.
Material: Zr4Co3W2N3
Method: DFT, PBE
State: optimized geometry

Cell and atoms, written as POSCAR:
```
Zr4Co3W2N3
1.0
4.665 -2.666 0.000
4.665 2.666 0.000
-3.263 0.000 13.577
Zr Co W N
8 6 4 6
direct
0.022 0.205 0.093
0.145 0.304 0.407
0.205 0.022 0.593
0.304 0.145 0.907
0.696 0.855 0.093
0.795 0.978 0.407
0.855 0.696 0.593
0.978 0.795 0.907
0.054 0.946 0.750
0.115 0.415 0.749
0.415 0.115 0.249
0.585 0.885 0.751
0.885 0.585 0.251
0.946 0.054 0.250
0.394 0.546 0.159
0.454 0.606 0.341
0.546 0.394 0.659
0.606 0.454 0.841
0.000 0.500 0.000
0.160 0.669 0.502
0.331 0.840 0.998
0.500 0.000 0.500
0.669 0.160 0.002
0.840 0.331 0.498
```

- calculated volume (Å³ per cell) = 338
- SG = C2/c (15)
- DFT total energy (eV/atom) = -9.22
- total magnetic moment (μB per atom) = 0.12
- mass density (g/cm³) = 9.4

---

13.
Material: Y4ZnCoN2
Method: DFT, PBE
State: optimized geometry

Cell and atoms, written as POSCAR:
```
Y4ZnCoN2
1.0
3.488 0.000 0.000
-1.744 3.020 0.000
0.000 0.000 14.234
Y Zn Co N
4 1 1 2
direct
0.000 0.000 0.138
0.000 0.000 0.862
0.667 0.333 0.333
0.667 0.333 0.667
0.000 0.000 0.500
0.667 0.333 0.000
0.333 0.667 0.242
0.333 0.667 0.758
```

- calculated volume (Å³ per cell) = 150
- SG = P-6m2 (187)
- DFT total energy (eV/atom) = -7.10
- total magnetic moment (μB per atom) = 0.08
- mass density (g/cm³) = 5.6

---

14.
Material: Y2Zr4Co3N3
Method: DFT, PBE
State: optimized geometry

Cell and atoms, written as POSCAR:
```
Y2Zr4Co3N3
1.0
4.895 -2.827 0.000
4.895 2.827 0.000
-3.336 0.000 13.305
Y Zr Co N
4 8 6 6
direct
0.042 0.875 0.622
0.125 0.958 0.878
0.875 0.042 0.122
0.958 0.125 0.378
0.196 0.362 0.095
0.297 0.475 0.405
0.362 0.196 0.595
0.475 0.297 0.905
0.525 0.703 0.095
0.638 0.804 0.405
0.703 0.525 0.595
0.804 0.638 0.905
0.086 0.408 0.750
0.408 0.086 0.250
0.424 0.576 0.250
0.576 0.424 0.750
0.592 0.914 0.750
0.914 0.592 0.250
0.000 0.500 0.500
0.168 0.663 0.000
0.337 0.832 0.500
0.500 0.000 0.000
0.663 0.168 0.500
0.832 0.337 0.000
```

- calculated volume (Å³ per cell) = 368
- SG = C2/c (15)
- DFT total energy (eV/atom) = -8.67
- total magnetic moment (μB per atom) = 0.00
- mass density (g/cm³) = 6.9

---

15.
Material: Zr2CoN
Method: DFT, PBE
State: optimized geometry

Cell and atoms, written as POSCAR:
```
Zr2CoN
1.0
4.792 -2.761 0.000
4.792 2.761 0.000
-3.231 0.000 13.271
Zr Co N
12 6 6
direct
0.040 0.874 0.618
0.126 0.960 0.882
0.197 0.363 0.095
0.299 0.472 0.405
0.363 0.197 0.595
0.472 0.299 0.905
0.528 0.701 0.095
0.637 0.803 0.405
0.701 0.528 0.595
0.803 0.637 0.905
0.874 0.040 0.118
0.960 0.126 0.382
0.085 0.398 0.750
0.398 0.085 0.250
0.427 0.573 0.250
0.573 0.427 0.750
0.602 0.915 0.750
0.915 0.602 0.250
0.000 0.500 0.500
0.161 0.678 0.000
0.322 0.839 0.500
0.500 0.000 0.000
0.678 0.161 0.500
0.839 0.322 0.000
```

- calculated volume (Å³ per cell) = 351
- SG = C2/c (15)
- DFT total energy (eV/atom) = -8.96
- total magnetic moment (μB per atom) = 0.00
- mass density (g/cm³) = 7.2

---

16.
Material: Zr4Co2N
Method: DFT, PBE
State: optimized geometry

Cell and atoms, written as POSCAR:
```
Zr4Co2N
1.0
0.000 6.089 6.089
6.089 0.000 6.089
6.089 6.089 0.000
Zr Co N
16 8 4
direct
0.000 0.000 0.000
0.000 0.000 0.500
0.000 0.500 0.000
0.190 0.190 0.560
0.190 0.560 0.190
0.190 0.560 0.560
0.440 0.440 0.810
0.440 0.810 0.440
0.440 0.810 0.810
0.500 0.000 0.000
0.560 0.190 0.190
0.560 0.190 0.560
0.560 0.560 0.190
0.810 0.440 0.440
0.810 0.440 0.810
0.810 0.810 0.440
0.142 0.786 0.786
0.214 0.214 0.214
0.214 0.214 0.858
0.214 0.858 0.214
0.786 0.142 0.786
0.786 0.786 0.142
0.786 0.786 0.786
0.858 0.214 0.214
0.000 0.500 0.500
0.500 0.000 0.500
0.500 0.500 0.000
0.500 0.500 0.500
```

- calculated volume (Å³ per cell) = 452
- SG = Fd-3m (227)
- DFT total energy (eV/atom) = -8.81
- total magnetic moment (μB per atom) = 0.01
- mass density (g/cm³) = 7.3

---

17.
Material: Zr2CoN
Method: DFT, PBE
State: optimized geometry

Cell and atoms, written as POSCAR:
```
Zr2CoN
1.0
3.236 0.000 0.000
-1.618 2.803 0.000
0.000 0.000 13.012
Zr Co N
4 2 2
direct
0.333 0.667 0.104
0.333 0.667 0.396
0.667 0.333 0.604
0.667 0.333 0.896
0.333 0.667 0.750
0.667 0.333 0.250
0.000 0.000 0.000
0.000 0.000 0.500
```

- calculated volume (Å³ per cell) = 118
- SG = P6_3/mmc (194)
- DFT total energy (eV/atom) = -8.92
- total magnetic moment (μB per atom) = 0.11
- mass density (g/cm³) = 7.2